Entry 1:
Na2PuAg9: relaxed, PBE.

* energy of formation: -0.10 eV/f.u.
* E: -3.561 eV/atom
* SG: R-3m, No. 166

Unit cell a=5.6139 b=5.6139 c=9.9555 alpha=73.62 beta=73.62 gamma=60.00
Last column: magnetic moment on the atom in μB.
Positions (direct):
Ag: 0.4159 0.4159 0.2510  -0.01
Ag: 0.6673 0.6673 0.9981  -0.02
Ag: 0.4159 0.9173 0.2510  -0.01
Ag: 0.5841 0.0827 0.7490  -0.01
Ag: 0.5000 0.5000 0.5000  0.00
Ag: 0.5841 0.5841 0.7490  -0.01
Ag: 0.0827 0.5841 0.7490  -0.01
Ag: 0.9173 0.4159 0.2510  -0.01
Ag: 0.3327 0.3327 0.0019  -0.02
Na: 0.8548 0.8548 0.4355  0.00
Na: 0.1452 0.1452 0.5645  0.00
Pu: 0.0000 0.0000 0.0000  -5.61

=====

Entry 2:
NaPuAg2: relaxed, PBE.

* energy of formation: 0.19 eV/f.u.
* E: -5.291 eV/atom
* SG: P4/mmm, No. 123
* relative energy among the computed polymorphs: 0.000 eV per atom

Unit cell a=3.1691 b=3.1691 c=9.0588 alpha=90.00 beta=90.00 gamma=90.00
Last column: magnetic moment on the atom in μB.
Positions (direct):
Ag: 0.0000 0.0000 0.7453  0.03
Ag: 0.0000 0.0000 0.2547  0.03
Pu: 0.5000 0.5000 0.0000  5.72
Na: 0.5000 0.5000 0.5000  0.01

=====

Entry 3:
NaPuAg2: relaxed, PBE.

* energy of formation: 0.53 eV/f.u.
* E: -5.207 eV/atom
* SG: R-3m, No. 166
* relative energy among the computed polymorphs: 0.084 eV per atom

Unit cell a=3.1390 b=3.1390 c=10.6208 alpha=81.50 beta=81.50 gamma=60.00
Last column: magnetic moment on the atom in μB.
Positions (direct):
Na: 0.0000 0.0000 0.0000  0.00
Ag: 0.2517 0.2517 0.2449  0.01
Ag: 0.7483 0.7483 0.7551  0.01
Pu: 0.5000 0.5000 0.5000  5.54